The following is a DFT calculation (PBE-GGA) of crystalline Ti5GeSb2H at its relaxed geometry.

Lattice parameters (Å, degrees): 3.9318 3.9318 9.8303 90.00 90.00 90.00
With the nearest neighbours (Å) after each atom.
Positions (direct):
Ti1 0.0000 0.0000 0.0000  4 Ge 2.78, 2 Sb 2.83
Ti2 0.0000 0.5000 0.5000  2 H 1.97
Ti3 0.5000 0.0000 0.5000  2 H 1.97
Ti4 0.5000 0.5000 0.2556  1 H 2.40, 1 Ge 2.51
Ti5 0.5000 0.5000 0.7444  1 H 2.40, 1 Ge 2.51
Ge1 0.5000 0.5000 0.0000  6 Ti 2.51-2.78
Sb1 0.0000 0.0000 0.2878  9 Ti 2.80-2.87
Sb2 0.0000 0.0000 0.7122  9 Ti 2.80-2.87
H1 0.5000 0.5000 0.5000  4 Ti 1.97

Properties
For the raw total energy, the calculation gives -6.65 eV/atom.

The following is a DFT calculation (PBE-GGA) of crystalline CsK4Li at its relaxed geometry.

Lattice parameters (Å, degrees): 8.4988 8.4988 8.4988 60.00 60.00 60.00
With the nearest neighbours (Å) after each atom.
Positions (direct):
Cs1 0.0000 0.0000 0.0000  12 K 4.99, 4 Li 5.20
K1 0.1286 0.6238 0.6238  6 K 4.21-4.29
K2 0.6238 0.1286 0.6238  6 K 4.21-4.29
K3 0.6238 0.6238 0.1286  6 K 4.21-4.29
K4 0.6238 0.6238 0.6238  6 K 4.21-4.29
Li1 0.2500 0.2500 0.2500  12 K 4.98, 4 Cs 5.20

Properties
For the formation enthalpy at 0 K, the calculation gives 0.1371 eV per atom.

The following is a DFT calculation (PBE-GGA) of crystalline BeReSe at its relaxed geometry.

Lattice parameters (Å, degrees): 3.1590 4.5277 12.0147 90.00 90.00 90.00
With the nearest neighbours (Å) after each atom.
Positions (direct):
Be1 0.0000 0.0000 0.0000  2 Re 2.34, 2 Se 2.46
Be2 0.0000 0.5000 0.5000  2 Re 2.34, 2 Se 2.46
Be3 0.5000 0.0000 0.5000  2 Re 2.34, 2 Se 2.46
Be4 0.5000 0.5000 0.0000  2 Re 2.34, 2 Se 2.46
Re1 0.0000 0.0000 0.6436  2 Be 2.34
Re2 0.0000 0.5000 0.1436  2 Be 2.34
Re3 0.5000 0.0000 0.1436  2 Be 2.34
Re4 0.5000 0.5000 0.6436  2 Be 2.34
Se1 0.0000 0.0000 0.3428  2 Be 2.46
Se2 0.0000 0.5000 0.8428  2 Be 2.46
Se3 0.5000 0.0000 0.8428  2 Be 2.46
Se4 0.5000 0.5000 0.3428  2 Be 2.46

Properties
The formation energy without anion corrections comes out at 2.02 eV/f.u. The calculation puts the energy above the most stable polymorph in this dataset at 0.383 eV per atom.

The following is a DFT calculation (PBE-GGA) of crystalline LiSm2Br6 at its relaxed geometry.

Lattice parameters (Å, degrees): 6.8851 6.8851 12.2905 90.00 90.00 90.00
With the nearest neighbours (Å) after each atom.
Positions (direct):
Li1 0.0000 0.0000 0.0000  6 Br 2.70-2.80
Li2 0.5000 0.5000 0.5000  6 Br 2.70-2.80
Sm1 0.0000 0.0000 0.3465  6 Br 2.87-2.97
Sm2 0.0000 0.0000 0.6535  6 Br 2.87-2.97
Sm3 0.5000 0.5000 0.1535  6 Br 2.87-2.97
Sm4 0.5000 0.5000 0.8465  6 Br 2.87-2.97
Br1 0.1993 0.1993 0.1638  1 Li 2.80, 2 Sm 2.93-2.97
Br2 0.1993 0.1993 0.8362  1 Li 2.80, 2 Sm 2.93-2.97
Br3 0.2226 0.2226 0.5000  1 Li 2.70, 2 Sm 2.87
Br4 0.2774 0.7226 0.0000  1 Li 2.70, 2 Sm 2.87
Br5 0.3007 0.6993 0.3362  1 Li 2.80, 2 Sm 2.93-2.97
Br6 0.3007 0.6993 0.6638  1 Li 2.80, 2 Sm 2.93-2.97
Br7 0.6993 0.3007 0.3362  1 Li 2.80, 2 Sm 2.93-2.97
Br8 0.6993 0.3007 0.6638  1 Li 2.80, 2 Sm 2.93-2.97
Br9 0.7226 0.2774 0.0000  1 Li 2.70, 2 Sm 2.87
Br10 0.7774 0.7774 0.5000  1 Li 2.70, 2 Sm 2.87
Br11 0.8007 0.8007 0.1638  1 Li 2.80, 2 Sm 2.93-2.97
Br12 0.8007 0.8007 0.8362  1 Li 2.80, 2 Sm 2.93-2.97

Properties
The formation energy without anion corrections comes out at -15.08 eV/f.u. The calculation puts the energy above the most stable polymorph in this dataset at 0.011 eV per atom.

What magnetic moment values result from the calculations? In sequence: 0.000, 0.000, 0.000, 0.111 μB per atom.